(1)
## Sr6P2PdN (PBE)

Data for a geometry-optimized Sr6P2PdN structure.

abc: 7.196 7.874 10.473
angles: 90.00 88.81 90.00
Sites, in units of the cell vectors:
P: 0.039 0.908 0.253
P: 0.539 0.592 0.753
P: 0.461 0.408 0.247
P: 0.961 0.092 0.747
Pd: 0.500 0.000 0.000
Pd: 0.000 0.500 0.500
Sr: 0.641 0.056 0.270
Sr: 0.704 0.330 0.933
Sr: 0.359 0.944 0.730
Sr: 0.664 0.293 0.572
Sr: 0.796 0.830 0.567
Sr: 0.296 0.670 0.067
Sr: 0.141 0.444 0.770
Sr: 0.859 0.556 0.230
Sr: 0.164 0.207 0.072
Sr: 0.204 0.170 0.433
Sr: 0.336 0.707 0.428
Sr: 0.836 0.793 0.928
N: 0.500 0.000 0.500
N: 0.000 0.500 0.000

Summary:
ΔE_f (raw): -744.4 meV per atom
Space group: No. 14



(2)
## PmZnCo2H8 (PBE)

Data for a geometry-optimized PmZnCo2H8 structure.

abc: 4.475 4.475 6.006
angles: 68.13 68.13 60.00
Sites, in units of the cell vectors:
Co: 0.303 0.303 0.091
Co: 0.697 0.697 0.909
H: 0.100 0.402 0.860
H: 0.797 0.797 0.608
H: 0.402 0.638 0.860
H: 0.598 0.362 0.140
H: 0.900 0.598 0.140
H: 0.362 0.900 0.140
H: 0.638 0.100 0.860
H: 0.203 0.203 0.392
Zn: 0.000 0.000 0.000
Pm: 0.500 0.500 0.500

Summary:
Space group: No. 148



(3)
## CsHgPt (PBE)

Data for a geometry-optimized CsHgPt structure.

abc: 5.449 4.706 4.706
angles: 120.00 90.00 90.00
Sites, in units of the cell vectors:
Pt: 0.167 0.000 0.000
Hg: 0.167 0.667 0.333
Cs: 0.667 0.333 0.667

Summary:
ΔH_f (0 K): -0.097 eV per atom
Space group: No. 187



(4)
## Al6AgPd5 (PBE)

Data for a geometry-optimized Al6AgPd5 structure.

abc: 4.370 6.192 6.899
angles: 90.00 107.63 90.00
Sites, in units of the cell vectors:
Al: 0.500 0.259 0.000
Al: 0.500 0.741 0.000
Al: 0.829 0.747 0.659
Al: 0.829 0.253 0.659
Al: 0.171 0.253 0.341
Al: 0.171 0.747 0.341
Pd: 0.000 0.500 0.000
Pd: 0.335 0.000 0.671
Pd: 0.336 0.500 0.669
Pd: 0.664 0.500 0.331
Pd: 0.665 0.000 0.329
Ag: 0.000 0.000 0.000

Summary:
ΔH_f (0 K): -0.732 eV per atom
Space group: No. 10



(5)
## LuHfAlIr (PBE)

Data for a geometry-optimized LuHfAlIr structure.

abc: 4.779 4.779 4.779
angles: 60.00 60.00 60.00
Sites, in units of the cell vectors:
Ir: 0.000 0.000 0.000
Hf: 0.250 0.250 0.250
Al: 0.500 0.500 0.500
Lu: 0.750 0.750 0.750

Summary:
ΔH_f (0 K): -0.551 eV per atom
Space group: No. 216



(6)
## CeHo3Tm2 (PBE)

Data for a geometry-optimized CeHo3Tm2 structure.

abc: 9.284 9.284 9.284
angles: 149.02 115.44 73.32
Sites, in units of the cell vectors:
Ho: 0.250 0.500 0.750
Ho: 0.750 0.500 0.250
Ho: 0.415 0.165 0.250
Ho: 0.915 0.165 0.750
Ho: 0.085 0.835 0.250
Ho: 0.585 0.835 0.750
Tm: 0.333 0.332 0.000
Tm: 0.167 0.667 0.500
Tm: 0.833 0.333 0.500
Tm: 0.667 0.668 0.000
Ce: 0.000 0.000 0.000
Ce: 0.500 0.000 0.500

Summary:
ΔH_f (0 K): 0.060 eV per atom
Space group: No. 65



(7)
## Sr2AsIr (PBE)

Data for a geometry-optimized Sr2AsIr structure.

abc: 5.054 5.054 5.054
angles: 60.00 60.00 60.00
Sites, in units of the cell vectors:
Sr: 0.250 0.250 0.250
Sr: 0.000 0.000 0.000
As: 0.500 0.500 0.500
Ir: 0.750 0.750 0.750

Summary:
ΔH_f (0 K): -0.116 eV per atom
Space group: No. 216



(8)
## AlHgPb2 (PBE)

Data for a geometry-optimized AlHgPb2 structure.

abc: 3.510 3.510 8.552
angles: 90.00 90.00 90.00
Sites, in units of the cell vectors:
Pb: 0.000 0.000 0.979
Pb: 0.500 0.500 0.282
Hg: 0.500 0.500 0.711
Al: 0.000 0.000 0.528

Summary:
ΔH_f (0 K): 0.123 eV per atom
Space group: No. 99



| no. | V (Å³/atom) | electronic total energy (eV for the cell shown) |
| --- | --- | --- |
| 1 | 29.66 | -83.7 |
| 2 | 7.84 | -48.7 |
| 3 | 34.84 | -7.5 |
| 4 | 14.83 | -60.1 |
| 5 | 19.29 | -29.3 |
| 6 | 30.52 | -56.5 |
| 7 | 22.82 | -17.3 |
| 8 | 26.34 | -11.0 |